# 1
The following is a GGA-PBE calculation of a relaxed structure of Hf3Ga6Cu, from the Alexandria database.

Energy in eV/atom: -5.5581
E_form in eV per formula unit: -3.5

a = 7.083 Å, b = 7.083 Å, c = 7.083 Å
α = 96.83°, β = 96.83°, γ = 96.83°
Element x y z (fractional)
Ga1 0.016 0.355 0.086
Ga2 0.414 0.145 0.484
Ga3 0.855 0.516 0.586
Ga4 0.086 0.016 0.355
Cu1 0.000 0.000 0.000
Hf1 0.250 0.815 0.685
Ga5 0.355 0.086 0.016
Hf2 0.750 0.185 0.315
Hf3 0.315 0.750 0.185
Ga6 0.984 0.645 0.914
Ga7 0.586 0.855 0.516
Ga8 0.484 0.414 0.145
Hf4 0.185 0.315 0.750
Ga9 0.914 0.984 0.645
Cu2 0.500 0.500 0.500
Hf5 0.815 0.685 0.250
Ga10 0.645 0.914 0.984
Ga11 0.516 0.586 0.855
Hf6 0.685 0.250 0.815
Ga12 0.145 0.484 0.414

---

# 2
The following is a GGA-PBE calculation of a relaxed structure of TaAg2SnP, from the Alexandria database.

Energy in eV/atom: -3.7894
E_form in eV per formula unit: 8.0

a = 5.001 Å, b = 4.949 Å, c = 5.001 Å
α = 90.00°, β = 90.00°, γ = 90.00°
Element x y z (fractional)
Ag1 0.500 0.000 0.000
Sn1 0.000 0.000 0.000
P1 0.000 0.500 0.000
Ta1 0.500 0.500 0.500
Ag2 0.000 0.000 0.500

---

# 3
The following is a GGA-PBE calculation of a relaxed structure of MnZn2Ag, from the Alexandria database.

Energy in eV/atom: -3.5550
E_form in eV per formula unit: 0.3

a = 4.601 Å, b = 4.601 Å, c = 4.601 Å
α = 126.15°, β = 126.15°, γ = 79.63°
Element x y z (fractional)
Ag1 0.500 0.500 0.000
Zn1 0.250 0.750 0.500
Mn1 0.750 0.250 0.500
Zn2 0.000 0.000 0.000

---

# 4
The following is a GGA-PBE calculation of a relaxed structure of CaFeCl2, from the Alexandria database.

Energy in eV/atom: -4.1999
Uncorrected formation energy in eV/atom: -0.661

a = 3.947 Å, b = 3.833 Å, c = 5.554 Å
α = 89.87°, β = 90.00°, γ = 90.00°
Element x y z (fractional)
Cl1 0.000 0.430 0.482
Cl2 0.000 0.070 0.018
Ca1 0.500 0.750 0.750
Fe1 0.500 0.250 0.250

---

# 5
The following is a GGA-PBE calculation of a relaxed structure of SmTeAu, from the Alexandria database.

Energy in eV/atom: -4.6441
Uncorrected formation energy in eV/atom: -0.931

a = 4.713 Å, b = 4.557 Å, c = 4.557 Å
α = 120.00°, β = 90.00°, γ = 90.00°
Element x y z (fractional)
Au1 0.011 0.000 0.000
Te1 0.701 0.667 0.333
Sm1 0.289 0.333 0.667

---

# 6
The following is a GGA-PBE calculation of a relaxed structure of LaTaAs2, from the Alexandria database.

Energy in eV/atom: -7.0335
E_form in eV per formula unit: -2.1

a = 5.324 Å, b = 5.324 Å, c = 5.324 Å
α = 136.44°, β = 114.38°, γ = 82.10°
Element x y z (fractional)
La1 0.750 0.250 0.500
As1 0.465 0.465 0.000
As2 0.035 0.035 0.000
Ta1 0.250 0.750 0.500

---

# 7
The following is a GGA-PBE calculation of a relaxed structure of LiZrGaI, from the Alexandria database.

Energy in eV/atom: -4.0819
Uncorrected formation energy in eV/atom: -0.322

a = 3.873 Å, b = 3.717 Å, c = 14.513 Å
α = 90.00°, β = 90.00°, γ = 90.00°
Element x y z (fractional)
Zr1 0.500 0.000 0.890
I1 0.500 0.500 0.055
Ga1 0.000 0.500 0.839
I2 0.500 0.000 0.555
Ga2 0.000 0.000 0.339
Li1 0.000 0.000 0.692
Zr2 0.500 0.500 0.390
Li2 0.000 0.500 0.192

---

# 8
The following is a GGA-PBE calculation of a relaxed structure of InGaI3, from the Alexandria database.

Energy in eV/atom: -2.5709
Uncorrected formation energy in eV/atom: -0.488

a = 8.095 Å, b = 9.135 Å, c = 11.685 Å
α = 90.00°, β = 91.72°, γ = 90.00°
Element x y z (fractional)
I1 0.159 0.693 0.963
I2 0.137 0.679 0.581
Ga1 0.437 0.594 0.059
I3 0.863 0.321 0.419
In1 0.537 0.126 0.276
I4 0.341 0.193 0.537
In2 0.037 0.374 0.776
I5 0.868 0.005 0.764
I6 0.363 0.179 0.919
I7 0.659 0.807 0.463
In3 0.963 0.626 0.224
I8 0.632 0.505 0.736
I9 0.841 0.307 0.037
Ga2 0.563 0.406 0.941
In4 0.463 0.874 0.724
I10 0.132 0.995 0.236
I11 0.637 0.821 0.081
Ga3 0.937 0.906 0.559
I12 0.368 0.495 0.264
Ga4 0.063 0.094 0.441

---

# 9
The following is a GGA-PBE calculation of a relaxed structure of BaLiZn, from the Alexandria database.

Energy in eV/atom: -1.3548
E_form in eV per formula unit: 1.0

a = 5.545 Å, b = 5.545 Å, c = 5.545 Å
α = 60.00°, β = 60.00°, γ = 60.00°
Element x y z (fractional)
Zn1 0.500 0.500 0.500
Li1 0.000 0.000 0.000
Ba1 0.750 0.750 0.750

---

# 10
The following is a GGA-PBE calculation of a relaxed structure of TcIrW2, from the Alexandria database.

Energy in eV/atom: -9.8739
E_form in eV per formula unit: 5.6

a = 5.666 Å, b = 5.666 Å, c = 6.986 Å
α = 66.08°, β = 66.08°, γ = 90.00°
Element x y z (fractional)
W1 0.626 0.125 0.250
Ir1 0.750 0.250 0.500
W2 0.124 0.625 0.250
W3 0.375 0.374 0.750
Ir2 0.000 0.000 0.000
W4 0.875 0.876 0.750
Tc1 0.500 0.500 0.000
Tc2 0.250 0.750 0.500

---

# 11
The following is a GGA-PBE calculation of a relaxed structure of LaGdTmZn, from the Alexandria database.

Energy in eV/atom: -6.1844
E_form in eV per formula unit: 0.0

a = 5.425 Å, b = 5.425 Å, c = 5.425 Å
α = 60.00°, β = 60.00°, γ = 60.00°
Element x y z (fractional)
La1 0.250 0.250 0.250
Gd1 0.750 0.750 0.750
Zn1 0.000 0.000 0.000
Tm1 0.500 0.500 0.500

---

# 12
The following is a GGA-PBE calculation of a relaxed structure of Mo3Cl, from the Alexandria database.

Energy in eV/atom: -7.9879
Uncorrected formation energy in eV/atom: 0.597

a = 5.634 Å, b = 5.634 Å, c = 5.634 Å
α = 149.54°, β = 133.71°, γ = 56.43°
Element x y z (fractional)
Mo1 0.895 0.201 0.694
Mo2 0.435 0.500 0.935
Mo3 0.493 0.799 0.694
Cl1 0.010 0.000 0.010

---

# 13
The following is a GGA-PBE calculation of a relaxed structure of AsPt2Au, from the Alexandria database.

Energy in eV/atom: -5.0389
E_form in eV per formula unit: -0.1

a = 3.796 Å, b = 4.493 Å, c = 4.439 Å
α = 73.94°, β = 90.00°, γ = 90.00°
Element x y z (fractional)
As1 0.500 0.250 0.250
Pt1 0.000 0.029 0.030
Au1 0.500 0.750 0.750
Pt2 0.000 0.471 0.470

---

# 14
The following is a GGA-PBE calculation of a relaxed structure of YAlSe3, from the Alexandria database.

Energy in eV/atom: -5.0595
Uncorrected formation energy in eV/atom: -0.927

a = 4.477 Å, b = 4.477 Å, c = 16.379 Å
α = 90.00°, β = 90.00°, γ = 120.00°
Element x y z (fractional)
Al1 0.000 0.000 0.000
Y1 0.667 0.333 0.250
Se1 0.000 0.000 0.250
Se2 0.333 0.667 0.571
Al2 0.000 0.000 0.500
Y2 0.333 0.667 0.750
Se3 0.667 0.333 0.429
Se4 0.667 0.333 0.071
Se5 0.333 0.667 0.929
Se6 0.000 0.000 0.750

---

# 15
The following is a GGA-PBE calculation of a relaxed structure of CaCdHgO3, from the Alexandria database.

Energy in eV/atom: -4.3626
Uncorrected formation energy in eV/atom: -1.347

a = 3.225 Å, b = 6.004 Å, c = 9.876 Å
α = 91.79°, β = 90.00°, γ = 90.00°
Element x y z (fractional)
O1 0.250 0.623 0.877
O2 0.750 0.886 0.216
Hg1 0.250 0.302 0.595
O3 0.750 0.302 0.421
Cd1 0.750 0.335 0.898
O4 0.750 0.377 0.123
Cd2 0.250 0.665 0.102
Hg2 0.750 0.698 0.405
O5 0.250 0.114 0.784
Ca1 0.750 0.814 0.747
O6 0.250 0.698 0.579
Ca2 0.250 0.186 0.253

---

# 16
The following is a GGA-PBE calculation of a relaxed structure of Tb7PrSm4, from the Alexandria database.

Energy in eV/atom: -4.5883
E_form in eV per formula unit: 1.0

a = 6.900 Å, b = 6.568 Å, c = 11.843 Å
α = 75.20°, β = 50.20°, γ = 82.14°
Element x y z (fractional)
Sm1 0.487 0.358 0.714
Tb1 0.798 0.514 0.950
Sm2 0.513 0.642 0.286
Tb2 0.500 0.000 0.000
Tb3 0.060 0.314 0.643
Sm3 0.291 0.164 0.314
Pr1 0.000 0.000 0.000
Tb4 0.940 0.686 0.357
Tb5 0.202 0.486 0.050
Tb6 0.287 0.806 0.614
Sm4 0.709 0.836 0.686
Tb7 0.713 0.194 0.386

---

# 17
The following is a GGA-PBE calculation of a relaxed structure of SbBr2Cl, from the Alexandria database.

Energy in eV/atom: -2.7392
Uncorrected formation energy in eV/atom: -0.411

a = 7.797 Å, b = 7.797 Å, c = 7.797 Å
α = 152.87°, β = 139.64°, γ = 49.31°
Element x y z (fractional)
Br1 0.754 0.254 0.500
Br2 0.099 0.099 0.000
Sb1 0.252 0.752 0.500
Cl1 0.395 0.395 0.000

---

# 18
The following is a GGA-PBE calculation of a relaxed structure of Ba2C, from the Alexandria database.

Energy in eV/atom: -2.6889
E_form in eV per formula unit: 5.0

a = 5.311 Å, b = 5.311 Å, c = 3.525 Å
α = 90.00°, β = 90.00°, γ = 120.00°
Element x y z (fractional)
Ba1 0.333 0.667 0.500
Ba2 0.667 0.333 0.500
C1 0.000 0.000 0.000

---

# 19
The following is a GGA-PBE calculation of a relaxed structure of SrGaAsSe2, from the Alexandria database.

Energy in eV/atom: -2.9633
Uncorrected formation energy in eV/atom: 0.302

a = 5.828 Å, b = 5.828 Å, c = 5.897 Å
α = 90.00°, β = 90.00°, γ = 90.00°
Element x y z (fractional)
Sr1 0.000 0.000 0.000
Ga1 0.500 0.500 0.500
Se1 0.000 0.500 0.000
As1 0.000 0.000 0.500
Se2 0.500 0.000 0.000

---

# 20
The following is a GGA-PBE calculation of a relaxed structure of Tb3PmPd2, from the Alexandria database.

Energy in eV/atom: -5.3693
E_form in eV per formula unit: -3.2

a = 6.833 Å, b = 7.243 Å, c = 7.818 Å
α = 105.67°, β = 90.00°, γ = 118.15°
Element x y z (fractional)
Tb1 0.214 0.426 0.106
Pd1 0.378 0.755 0.439
Pd2 0.377 0.755 0.939
Pm1 0.241 0.000 0.250
Pd3 0.623 0.245 0.061
Tb2 0.212 0.426 0.606
Pd4 0.622 0.245 0.561
Tb3 0.786 0.574 0.894
Tb4 0.743 0.000 0.250
Pm2 0.759 0.000 0.750
Tb5 0.257 0.000 0.750
Tb6 0.788 0.574 0.394